The following is a DFT calculation (PBE) of a relaxed structure of Pb3SI3.

a = 11.1893 Å, b = 11.1893 Å, c = 11.1893 Å
α = 109.47°, β = 109.47°, γ = 109.47°
Atoms (fractional coordinates):
1 Pb 0.0166 0.0332 0.2666
2 Pb 0.0166 0.4834 0.7500
3 Pb 0.0332 0.2666 0.0166
4 Pb 0.2334 0.2666 0.7500
5 Pb 0.2334 0.4668 0.4834
6 Pb 0.2666 0.0166 0.0332
7 Pb 0.2666 0.7500 0.2334
8 Pb 0.4668 0.4834 0.2334
9 Pb 0.4834 0.2334 0.4668
10 Pb 0.4834 0.7500 0.0166
11 Pb 0.7500 0.0166 0.4834
12 Pb 0.7500 0.2334 0.2666
13 S 0.0000 0.2500 0.5000
14 S 0.2500 0.2500 0.2500
15 S 0.2500 0.5000 0.0000
16 S 0.5000 0.0000 0.2500
17 I 0.2500 0.7512 0.7488
18 I 0.2500 0.9988 0.5012
19 I 0.5012 0.2500 0.9988
20 I 0.5012 0.7512 0.5023
21 I 0.5023 0.5012 0.7512
22 I 0.7488 0.2500 0.7512
23 I 0.7488 0.9988 0.9977
24 I 0.7512 0.5023 0.5012
25 I 0.7512 0.7488 0.2500
26 I 0.9977 0.7488 0.9988
27 I 0.9988 0.5012 0.2500
28 I 0.9988 0.9977 0.7488


The following is a DFT calculation (PBE) of a relaxed structure of Pb6S5I.

a = 7.5441 Å, b = 7.5441 Å, c = 7.3435 Å
α = 99.78°, β = 99.78°, γ = 118.20°
Atoms (fractional coordinates):
1 Pb 0.0434 0.4120 0.7380
2 Pb 0.2242 0.2242 0.2666
3 Pb 0.4120 0.0434 0.7380
4 Pb 0.5880 0.9566 0.2620
5 Pb 0.7758 0.7758 0.7334
6 Pb 0.9566 0.5880 0.2620
7 S 0.0000 0.0000 0.5000
8 S 0.1669 0.8331 0.0000
9 S 0.3390 0.6610 0.5000
10 S 0.6610 0.3390 0.5000
11 S 0.8331 0.1669 0.0000
12 I 0.5000 0.5000 0.0000


The following is a DFT calculation (PBE) of a relaxed structure of Pb2S2I.

## Properties
Distance to the lowest polymorph of the same formula (eV/atom): 0.103

a = 8.4863 Å, b = 8.4863 Å, c = 3.8106 Å
α = 90.00°, β = 90.00°, γ = 90.00°
Atoms (fractional coordinates):
1 Pb 0.1502 0.3498 0.0000
2 Pb 0.3498 0.8498 0.0000
3 Pb 0.6502 0.1502 0.0000
4 Pb 0.8498 0.6502 0.0000
5 S 0.1358 0.6358 0.5000
6 S 0.3642 0.1358 0.5000
7 S 0.6358 0.8642 0.5000
8 S 0.8642 0.3642 0.5000
9 I 0.0000 0.0000 0.5000
10 I 0.5000 0.5000 0.5000


The following is a DFT calculation (PBE) of a relaxed structure of Pb2S6I.

a = 4.6380 Å, b = 7.5349 Å, c = 8.0447 Å
α = 98.25°, β = 97.18°, γ = 106.56°
Atoms (fractional coordinates):
1 Pb 0.1138 0.2307 0.2976
2 Pb 0.8862 0.7693 0.7024
3 S 0.0919 0.1701 0.9241
4 S 0.2652 0.4954 0.6722
5 S 0.4293 0.3523 0.8430
6 S 0.5707 0.6477 0.1570
7 S 0.7348 0.5046 0.3278
8 S 0.9081 0.8299 0.0759
9 I 0.5000 0.0000 0.5000


The following is a DFT calculation (PBE) of a relaxed structure of Pb3SI.

## Properties
Distance to the lowest polymorph of the same formula (eV/atom): 0.782

a = 6.0129 Å, b = 6.0129 Å, c = 6.0129 Å
α = 90.00°, β = 90.00°, γ = 90.00°
Atoms (fractional coordinates):
1 Pb 0.0000 0.0000 0.5000
2 Pb 0.0000 0.5000 0.0000
3 Pb 0.5000 0.0000 0.0000
4 S 0.5000 0.5000 0.5000
5 I 0.0000 0.0000 0.0000


The following is a DFT calculation (PBE) of a relaxed structure of Pb3S3I.

a = 9.3058 Å, b = 9.3058 Å, c = 9.3058 Å
α = 54.07°, β = 54.07°, γ = 54.07°
Atoms (fractional coordinates):
1 Pb 0.0415 0.7497 0.4087
2 Pb 0.2503 0.5913 0.9585
3 Pb 0.4087 0.0415 0.7497
4 Pb 0.5913 0.9585 0.2503
5 Pb 0.7497 0.4087 0.0415
6 Pb 0.9585 0.2503 0.5913
7 S 0.0800 0.3723 0.6996
8 S 0.3004 0.9200 0.6277
9 S 0.3723 0.6996 0.0800
10 S 0.6277 0.3004 0.9200
11 S 0.6996 0.0800 0.3723
12 S 0.9200 0.6277 0.3004
13 I 0.1681 0.1681 0.1681
14 I 0.8319 0.8319 0.8319


The following is a DFT calculation (PBE) of a relaxed structure of PbSI2.

## Properties
Distance to the lowest polymorph of the same formula (eV/atom): 0.010

a = 7.2450 Å, b = 7.2450 Å, c = 7.2450 Å
α = 105.89°, β = 105.89°, γ = 116.89°
Atoms (fractional coordinates):
1 Pb 0.0000 0.0000 0.0000
2 Pb 0.7500 0.2500 0.5000
3 S 0.2500 0.7500 0.5000
4 S 0.5000 0.5000 0.0000
5 I 0.1225 0.6250 0.9975
6 I 0.3750 0.3725 0.4975
7 I 0.6275 0.1250 0.0025
8 I 0.8750 0.8775 0.5025


The following is a DFT calculation (PBE) of a relaxed structure of PbS4I.

a = 4.5643 Å, b = 9.8829 Å, c = 10.1401 Å
α = 109.12°, β = 101.52°, γ = 91.37°
Atoms (fractional coordinates):
1 Pb 0.2395 0.2833 0.4161
2 Pb 0.7605 0.7167 0.5839
3 S 0.0841 0.6790 0.3317
4 S 0.1531 0.4363 0.9951
5 S 0.3550 0.5231 0.3009
6 S 0.4978 0.0946 0.5731
7 S 0.5022 0.9054 0.4269
8 S 0.6450 0.4769 0.6991
9 S 0.8469 0.5637 0.0049
10 S 0.9159 0.3210 0.6683
11 I 0.3643 0.8521 0.8029
12 I 0.6357 0.1479 0.1971


no.,E_form (uncorrected) (meV per atom)
1,-460.2
2,-456.9
3,-138.7
4,-138.7
5,874.4
6,-351.8
7,230.1
8,-39.4